# 1
Density functional theory data (PBEsol) for La2SbI2 after structural relaxation.

Results
Energy relative to the elements, uncorrected: -1.41 eV/atom
SG: P-3m1 (164)
DOS(E_F): 0.36 states/eV per atom
VASP energy: -5.1656 eV per atom

Cell: 4.4919 4.4919 11.0022 Å, 90.00 90.00 120.00°
Last column: nearest neighbours and their distance in Å.
Atoms (fractional coordinates):
1 La 0.3333 0.6667 0.3372  3 Sb 3.15, 3 I 3.27
2 La 0.6667 0.3333 0.6628  3 Sb 3.15, 3 I 3.27
3 Sb 0.0000 0.0000 0.5000  6 La 3.15
4 I 0.3333 0.6667 0.8433  3 La 3.27
5 I 0.6667 0.3333 0.1567  3 La 3.27


# 2
Density functional theory data (PBEsol) for La3SbI3 after structural relaxation.

Results
Energy relative to the elements, uncorrected: -1.33 eV/atom
SG: I4_132 (214)
DOS(E_F): 0.53 states/eV per atom
VASP energy: -5.0322 eV per atom

Cell: 10.9904 10.9904 10.9904 Å, 109.47 109.47 109.47°
Last column: nearest neighbours and their distance in Å.
Atoms (fractional coordinates):
1 La 0.0074 0.0148 0.2574  2 Sb 3.08, 4 I 3.27-3.29
2 La 0.0074 0.4926 0.7500  2 Sb 3.08, 4 I 3.27-3.29
3 La 0.0148 0.2574 0.0074  2 Sb 3.08, 4 I 3.27-3.29
4 La 0.2426 0.2574 0.7500  2 Sb 3.08, 4 I 3.27-3.29
5 La 0.2426 0.4852 0.4926  2 Sb 3.08, 4 I 3.27-3.29
6 La 0.2574 0.0074 0.0148  2 Sb 3.08, 4 I 3.27-3.29
7 La 0.2574 0.7500 0.2426  2 Sb 3.08, 4 I 3.27-3.29
8 La 0.4852 0.4926 0.2426  2 Sb 3.08, 4 I 3.27-3.29
9 La 0.4926 0.2426 0.4852  2 Sb 3.08, 4 I 3.27-3.29
10 La 0.4926 0.7500 0.0074  2 Sb 3.08, 4 I 3.27-3.29
11 La 0.7500 0.0074 0.4926  2 Sb 3.08, 4 I 3.27-3.29
12 La 0.7500 0.2426 0.2574  2 Sb 3.08, 4 I 3.27-3.29
13 Sb 0.0000 0.2500 0.5000  6 La 3.08
14 Sb 0.2500 0.2500 0.2500  6 La 3.08
15 Sb 0.2500 0.5000 0.0000  6 La 3.08
16 Sb 0.5000 0.0000 0.2500  6 La 3.08
17 I 0.2500 0.7586 0.7414  4 La 3.27-3.29
18 I 0.2500 0.9914 0.5086  4 La 3.27-3.29
19 I 0.5086 0.2500 0.9914  4 La 3.27-3.29
20 I 0.5086 0.7586 0.5171  4 La 3.27-3.29
21 I 0.5171 0.5086 0.7586  4 La 3.27-3.29
22 I 0.7414 0.2500 0.7586  4 La 3.27-3.29
23 I 0.7414 0.9914 0.9829  4 La 3.27-3.29
24 I 0.7586 0.5171 0.5086  4 La 3.27-3.29
25 I 0.7586 0.7414 0.2500  4 La 3.27-3.29
26 I 0.9829 0.7414 0.9914  4 La 3.27-3.29
27 I 0.9914 0.5086 0.2500  4 La 3.27-3.29
28 I 0.9914 0.9829 0.7414  4 La 3.27-3.29


- Among the records above, which one has the highest VASP energy?
  La3SbI3